HgIr | the Alexandria database | PBE-GGA | relaxed; symmetry = Pmmn, No. 59; energy of formation from the pure elements = 0.402 eV per atom
1.0
2.7950 0.0000 0.0000
0.0000 3.5807 0.0000
0.0000 0.0000 7.6408
Hg Ir
2 2
direct
0.5000 0.5000 0.7179 Hg
0.0000 0.0000 0.0321 Hg
0.0000 0.0000 0.4562 Ir
0.5000 0.5000 0.2938 Ir